Density functional theory data (PBE-GGA) for crystalline PmTaN2O at its relaxed geometry.

```
data_PmTaN2O
_cell_length_a 5.5042
_cell_length_b 5.5923
_cell_length_c 5.9808
_cell_angle_alpha 91.71
_cell_angle_beta 116.09
_cell_angle_gamma 119.39
_space_group_name_H-M_alt 'P 1'
_space_group_IT_number 1
_space_group_name_Hall 'P 1'
loop_
_atom_site_label
_atom_site_type_symbol
_atom_site_fract_x
_atom_site_fract_y
_atom_site_fract_z
Pm1 Pm 0.0000 0.0000 0.0000
Pm2 Pm 0.4707 0.7365 0.2172
Ta1 Ta 0.0620 0.5524 0.5558
Ta2 Ta 0.4561 0.2263 0.6625
N1 N 0.2098 0.3837 0.3878
N2 N 0.4909 0.9270 0.8341
N3 N 0.9167 0.5480 0.8409
N4 N 0.9850 0.7969 0.3590
O1 O 0.3094 0.3478 0.8635
O2 O 0.5810 0.1775 0.3774
```

---

Density functional theory data (PBE-GGA) for crystalline PrTmTh at its relaxed geometry.

```
data_PrTmTh
_cell_length_a 7.6989
_cell_length_b 7.6989
_cell_length_c 7.6989
_cell_angle_alpha 90.00
_cell_angle_beta 90.00
_cell_angle_gamma 90.00
_space_group_name_H-M_alt 'F -4 3 m'
_space_group_IT_number 216
_space_group_name_Hall 'F -4 2 3'
loop_
_atom_site_label
_atom_site_type_symbol
_atom_site_fract_x
_atom_site_fract_y
_atom_site_fract_z
Pr1 Pr 0.0000 0.0000 0.0000
Tm1 Tm 0.2500 0.2500 0.2500
Th1 Th 0.0000 0.0000 0.5000
```

ΔE to the lowest computed polymorph   0.000 eV/atom
Calculated formation energy   0.758 eV/atom

---

What M_tot values result from the calculations? In sequence: 0.0, 0.0 μB per formula unit.
What DFT total energy values result from the calculations? In sequence: -9.461, -4.796 eV per atom.